The following is a PBE-GGA calculation of a relaxed CaAc3Tl4 crystal, from Alexandria via LeMat-Bulk.

Cell: 3.9991 7.6901 10.5612 Å, 111.33 100.91 90.00°
Fractional positions:
Ca 0.5000 0.0000 0.0000
Ac 0.0000 0.5000 0.0000
Ac 0.2147 0.2148 0.4293
Ac 0.7853 0.7852 0.5707
Tl 0.3753 0.5865 0.7505
Tl 0.6247 0.4135 0.2495
Tl 0.6248 0.8365 0.2497
Tl 0.3752 0.1635 0.7503

Results
Final energy   -25.90 eV/cell
Calculated density   8.62 Mg/m³
Magnetic moment   0.00 μB/f.u.
Space group   Immm, No. 71